Below is InAsRh after structural relaxation, with properties calculated at the PBE level.

Structure (CIF):
```
data_InAsRh
_cell_length_a 3.2951
_cell_length_b 3.2951
_cell_length_c 6.0830
_cell_angle_alpha 90.00
_cell_angle_beta 90.00
_cell_angle_gamma 120.00
_symmetry_space_group_name_H-M 'P 3 m 1'
_symmetry_Int_Tables_number 156
loop_
_symmetry_equiv_pos_as_xyz
'x,y,z'
'-y,x-y,z'
'-x+y,-x,z'
'-y,-x,z'
'-x+y,y,z'
'x,x-y,z'
loop_
_atom_site_label
_atom_site_type_symbol
_atom_site_fract_x
_atom_site_fract_y
_atom_site_fract_z
In1 In 0.0000 0.0000 0.0000
As1 As 0.6667 0.3333 0.6011
Rh1 Rh 0.3333 0.6667 0.3446
```

## Properties
* energy of formation from the pure elements: -0.25 eV/atom
* VASP energy: -5.16 eV per atom


Below is InAs2Rh after structural relaxation, with properties calculated at the PBE level.

Structure (CIF):
```
data_InAs2Rh
_cell_length_a 5.526
_cell_length_b 7.442
_cell_length_c 3.632
_cell_angle_alpha 90.00
_cell_angle_beta 90.00
_cell_angle_gamma 90.00
_symmetry_space_group_name_H-M 'C m m m'
_symmetry_Int_Tables_number 65
_symmetry_space_group_name_Hall '-C 2 2'
loop_
_atom_site_label
_atom_site_type_symbol
_atom_site_fract_x
_atom_site_fract_y
_atom_site_fract_z
In1 In 0.000 0.000 0.000
As1 As 0.250 0.250 0.500
Rh1 Rh 0.000 0.500 0.000
```

## Properties
* energy of formation from the pure elements: 0.12 eV/atom
* VASP energy: -4.73 eV per atom


Below is InAsRh2 after structural relaxation, with properties calculated at the PBE level.

Structure (CIF):
```
data_InAsRh2
_cell_length_a 3.1354
_cell_length_b 3.1354
_cell_length_c 25.0436
_cell_angle_alpha 90.00
_cell_angle_beta 90.00
_cell_angle_gamma 120.00
_symmetry_space_group_name_H-M 'R 3 m'
_symmetry_Int_Tables_number 160
_symmetry_space_group_name_Hall 'R 3 -2"'
loop_
_atom_site_label
_atom_site_type_symbol
_atom_site_fract_x
_atom_site_fract_y
_atom_site_fract_z
In1 In 0.0000 0.0000 0.0000
As1 As 0.0000 0.0000 0.2313
Rh1 Rh 0.0000 0.0000 0.5006
Rh2 Rh 0.0000 0.0000 0.7467
```

## Properties
* energy of formation from the pure elements: 0.01 eV/atom
* VASP energy: -5.51 eV per atom


Below is InAs4Rh after structural relaxation, with properties calculated at the PBE level.

Structure (CIF):
```
data_InAs4Rh
_cell_length_a 7.839
_cell_length_b 7.839
_cell_length_c 7.839
_cell_angle_alpha 90.00
_cell_angle_beta 90.00
_cell_angle_gamma 90.00
_symmetry_space_group_name_H-M 'F -4 3 m'
_symmetry_Int_Tables_number 216
_symmetry_space_group_name_Hall 'F -4 2 3'
loop_
_atom_site_label
_atom_site_type_symbol
_atom_site_fract_x
_atom_site_fract_y
_atom_site_fract_z
In1 In 0.000 0.000 0.000
As1 As 0.127 0.127 0.373
Rh1 Rh 0.250 0.250 0.750
```

## Properties
* energy of formation from the pure elements: 0.51 eV/atom
* VASP energy: -4.27 eV per atom


Below is InAsRh after structural relaxation, with properties calculated at the PBE level.

Structure (CIF):
```
data_InAsRh
_cell_length_a 4.2539
_cell_length_b 4.2539
_cell_length_c 3.6779
_cell_angle_alpha 90.00
_cell_angle_beta 90.00
_cell_angle_gamma 120.00
_symmetry_space_group_name_H-M 'P -6 m 2'
_symmetry_Int_Tables_number 187
_symmetry_space_group_name_Hall 'P -6 2'
loop_
_atom_site_label
_atom_site_type_symbol
_atom_site_fract_x
_atom_site_fract_y
_atom_site_fract_z
In1 In 0.0000 0.0000 0.0000
As1 As 0.3333 0.6667 0.5000
Rh1 Rh 0.6667 0.3333 0.5000
```

## Properties
* energy of formation from the pure elements: -0.05 eV/atom
* VASP energy: -4.96 eV per atom


Below is InAs3Rh after structural relaxation, with properties calculated at the PBE level.

Structure (CIF):
```
data_InAs3Rh
_cell_length_a 4.882
_cell_length_b 4.882
_cell_length_c 4.882
_cell_angle_alpha 90.00
_cell_angle_beta 90.00
_cell_angle_gamma 90.00
_symmetry_space_group_name_H-M 'P m -3 m'
_symmetry_Int_Tables_number 221
_symmetry_space_group_name_Hall '-P 4 2 3'
loop_
_atom_site_label
_atom_site_type_symbol
_atom_site_fract_x
_atom_site_fract_y
_atom_site_fract_z
In1 In 0.000 0.000 0.000
As1 As 0.000 0.500 0.500
Rh1 Rh 0.500 0.500 0.500
```

## Properties
* energy of formation from the pure elements: 0.36 eV/atom
* excess energy over the best structure of this formula in the dataset: 0.0 meV per atom
* VASP energy: -4.45 eV per atom


Below is InAsRh2 after structural relaxation, with properties calculated at the PBE level.

Structure (CIF):
```
data_InAsRh2
_cell_length_a 3.339
_cell_length_b 3.792
_cell_length_c 10.851
_cell_angle_alpha 90.00
_cell_angle_beta 90.00
_cell_angle_gamma 90.00
_symmetry_space_group_name_H-M 'I m m 2'
_symmetry_Int_Tables_number 44
loop_
_symmetry_equiv_pos_as_xyz
'x,y,z'
'-x,-y,z'
'-x,y,z'
'x,-y,z'
'x+1/2,y+1/2,z+1/2'
'-x+1/2,-y+1/2,z+1/2'
'-x+1/2,y+1/2,z+1/2'
'x+1/2,-y+1/2,z+1/2'
loop_
_atom_site_label
_atom_site_type_symbol
_atom_site_fract_x
_atom_site_fract_y
_atom_site_fract_z
In1 In 0.000 0.000 0.000
As1 As 0.000 0.500 0.255
Rh1 Rh 0.000 0.000 0.592
Rh2 Rh 0.000 0.500 0.809
```

## Properties
* energy of formation from the pure elements: -0.32 eV/atom
* VASP energy: -5.84 eV per atom


Below is InAsRh after structural relaxation, with properties calculated at the PBE level.

Structure (CIF):
```
data_InAsRh
_cell_length_a 3.062
_cell_length_b 3.062
_cell_length_c 11.959
_cell_angle_alpha 90.00
_cell_angle_beta 90.00
_cell_angle_gamma 90.00
_symmetry_space_group_name_H-M 'I 4 m m'
_symmetry_Int_Tables_number 107
_symmetry_space_group_name_Hall 'I 4 -2'
loop_
_atom_site_label
_atom_site_type_symbol
_atom_site_fract_x
_atom_site_fract_y
_atom_site_fract_z
In1 In 0.000 0.000 0.000
As1 As 0.000 0.000 0.285
Rh1 Rh 0.000 0.000 0.667
```

## Properties
* energy of formation from the pure elements: -0.19 eV/atom
* VASP energy: -5.11 eV per atom